Density functional theory data (PBE) for a relaxed SrVAs2Se crystal.

The space group is P4/mmm (No. 123) and the conventional cell measures 4.681, 4.681 and 5.509 Å, with angles of 90.00, 90.00 and 90.00 degrees. The inequivalent atoms are Sr at (0.000, 0.000, 0.000), V at (0.500, 0.500, 0.500), As at (0.000, 0.500, 0.500) and Se at (0.500, 0.500, 0.000).

The calculation puts the uncorrected formation energy at -587 meV/atom. As for the density of states at the Fermi level: 0.67 states/eV/atom. Its electronic total energy is -26.5 eV/cell. As for the crystal system: tetragonal. Its energy above the lowest structure with this stoichiometry is 0 meV per atom. The calculation puts the magnetic moment at 0.00 μB/cell.